i | # Ba4Br

An optimized crystal structure of Ba4Br (PBE, Alexandria).

The value obtained for the density of states at the Fermi level is 1.96 states/eV/atom.

a = 6.6077 Å, b = 6.6077 Å, c = 6.6077 Å
α = 90.00°, β = 90.00°, γ = 90.00°
Last column: nearest neighbours and their distance in Å.
Sites, in units of the cell vectors:
Ba (0.0000, 0.0000, 0.0000)  12 Ba 4.67
Ba (0.0000, 0.5000, 0.5000)  2 Br 3.30
Ba (0.5000, 0.0000, 0.5000)  2 Br 3.30
Ba (0.5000, 0.5000, 0.0000)  2 Br 3.30
Br (0.5000, 0.5000, 0.5000)  6 Ba 3.30

ii | # Ba4Br

An optimized crystal structure of Ba4Br (PBE, Alexandria).

The value obtained for the density of states at the Fermi level is 1.51 states/eV/atom.

a = 8.2062 Å, b = 8.2062 Å, c = 8.2062 Å
α = 93.87°, β = 93.87°, γ = 149.90°
Last column: nearest neighbours and their distance in Å.
Sites, in units of the cell vectors:
Ba (0.0694, 0.7370, 0.8064)  2 Br 3.72
Ba (0.2630, 0.0694, 0.3325)  2 Br 3.72
Ba (0.7370, 0.9306, 0.6675)  2 Br 3.72
Ba (0.9306, 0.2630, 0.1936)  2 Br 3.72
Br (0.5000, 0.5000, 0.0000)  8 Ba 3.72

iii | # Ba4Br

An optimized crystal structure of Ba4Br (PBE, Alexandria).

The value obtained for the density of states at the Fermi level is 1.48 states/eV/atom.

a = 12.2023 Å, b = 12.2023 Å, c = 12.2023 Å
α = 156.56°, β = 156.56°, γ = 33.38°
Last column: nearest neighbours and their distance in Å.
Sites, in units of the cell vectors:
Ba (0.0905, 0.0905, 0.0000)  4 Br 4.09, 5 Ba 4.23-4.48
Ba (0.2500, 0.7500, 0.5000)  4 Ba 3.50
Ba (0.7500, 0.2500, 0.5000)  4 Ba 3.50
Ba (0.9095, 0.9095, 0.0000)  4 Br 4.09, 5 Ba 4.23-4.48
Br (0.5000, 0.5000, 0.0000)  8 Ba 4.09

Stability check: which of them is least stable? iii.

i | # Ba5Br

An optimized crystal structure of Ba5Br (PBE, Alexandria).

The value obtained for the density of states at the Fermi level is 1.29 states/eV/atom.

a = 7.7694 Å, b = 7.7694 Å, c = 11.1618 Å
α = 105.50°, β = 105.50°, γ = 32.40°
Last column: nearest neighbours and their distance in Å.
Sites, in units of the cell vectors:
Ba (0.0000, 0.0000, 0.0000)  11 Ba 4.34-4.60
Ba (0.0774, 0.0774, 0.4170)  2 Br 3.54
Ba (0.3069, 0.3069, 0.1838)  2 Br 3.53
Ba (0.3978, 0.3978, 0.6323)  2 Br 3.48
Ba (0.6943, 0.6943, 0.8082)  12 Ba 4.31-4.75, 1 Br 4.83
Br (0.7633, 0.7633, 0.4105)  6 Ba 3.48-3.54

ii | # Ba5Br

An optimized crystal structure of Ba5Br (PBE, Alexandria).

The value obtained for the density of states at the Fermi level is 1.50 states/eV/atom.

a = 7.0904 Å, b = 11.8856 Å, c = 11.8856 Å
α = 22.01°, β = 90.00°, γ = 90.00°
Last column: nearest neighbours and their distance in Å.
Sites, in units of the cell vectors:
Ba (0.0000, 0.0000, 0.0000)  8 Ba 4.40-4.55
Ba (0.0000, 0.3308, 0.3308)  12 Ba 4.39-4.55
Ba (0.0000, 0.6647, 0.6647)  2 Br 3.70
Ba (0.5000, 0.2201, 0.2201)  2 Br 3.28
Ba (0.5000, 0.8884, 0.8884)  10 Ba 4.40-4.54
Br (0.5000, 0.6188, 0.6188)  2 Ba 3.28

Stability check: which of them is least stable? ii.

i | # Ba3Br5

An optimized crystal structure of Ba3Br5 (PBE, Alexandria).

The value obtained for the density of states at the Fermi level is 0.42 states/eV/atom.

a = 9.5838 Å, b = 9.5838 Å, c = 9.5800 Å
α = 99.75°, β = 99.75°, γ = 131.34°
Last column: nearest neighbours and their distance in Å.
Sites, in units of the cell vectors:
Ba (0.0000, 0.0000, 0.0000)  6 Br 3.32-3.36
Ba (0.3054, 0.3054, 0.6109)  6 Br 3.32-3.36
Ba (0.4016, 0.9016, 0.8054)  8 Br 3.38
Ba (0.4998, 0.8054, 0.3054)  6 Br 3.32-3.36
Ba (0.8054, 0.4998, 0.3054)  6 Br 3.32-3.36
Ba (0.9016, 0.4016, 0.8054)  8 Br 3.38
Br (0.0713, 0.4445, 0.5175)  4 Ba 3.36-3.38, 1 Br 3.70
Br (0.2322, 0.8588, 0.0934)  4 Ba 3.36-3.38, 1 Br 3.70
Br (0.3588, 0.5708, 0.9321)  4 Ba 3.36-3.38, 1 Br 3.70
Br (0.4024, 0.4024, 0.3053)  4 Ba 3.32
Br (0.4445, 0.0713, 0.5175)  4 Ba 3.36-3.38, 1 Br 3.70
Br (0.5708, 0.3588, 0.9321)  4 Ba 3.36-3.38, 1 Br 3.70
Br (0.7322, 0.9442, 0.6788)  4 Ba 3.36-3.38, 1 Br 3.70
Br (0.8588, 0.2322, 0.0934)  4 Ba 3.36-3.38, 1 Br 3.70
Br (0.9025, 0.9025, 0.3055)  4 Ba 3.32
Br (0.9442, 0.7322, 0.6788)  4 Ba 3.36-3.38, 1 Br 3.70

ii | # Ba3Br5

An optimized crystal structure of Ba3Br5 (PBE, Alexandria).

The value obtained for the density of states at the Fermi level is 0.25 states/eV/atom.

a = 9.3808 Å, b = 9.3808 Å, c = 8.0194 Å
α = 90.00°, β = 90.00°, γ = 120.00°
Last column: nearest neighbours and their distance in Å.
Sites, in units of the cell vectors:
Ba (0.0000, 0.3932, 0.2500)  7 Br 3.22-3.52
Ba (0.0000, 0.6068, 0.7500)  7 Br 3.22-3.52
Ba (0.3932, 0.0000, 0.2500)  7 Br 3.22-3.52
Ba (0.3932, 0.3932, 0.7500)  7 Br 3.22-3.52
Ba (0.6068, 0.0000, 0.7500)  7 Br 3.22-3.52
Ba (0.6068, 0.6068, 0.2500)  7 Br 3.22-3.52
Br (0.0000, 0.2631, 0.7500)  3 Ba 3.22-3.25
Br (0.0000, 0.7369, 0.2500)  3 Ba 3.22-3.25
Br (0.2631, 0.0000, 0.7500)  3 Ba 3.22-3.25
Br (0.2631, 0.2631, 0.2500)  3 Ba 3.22-3.25
Br (0.3333, 0.6667, 0.0000)  6 Ba 3.52
Br (0.3333, 0.6667, 0.5000)  6 Ba 3.52
Br (0.6667, 0.3333, 0.0000)  6 Ba 3.52
Br (0.6667, 0.3333, 0.5000)  6 Ba 3.52
Br (0.7369, 0.0000, 0.2500)  3 Ba 3.22-3.25
Br (0.7369, 0.7369, 0.7500)  3 Ba 3.22-3.25

Stability check: which of them is least stable? i.

i | # Ba5Br4

An optimized crystal structure of Ba5Br4 (PBE, Alexandria).

The value obtained for the density of states at the Fermi level is 0.74 states/eV/atom.

a = 10.4291 Å, b = 10.4291 Å, c = 7.6547 Å
α = 90.00°, β = 90.00°, γ = 120.00°
Last column: nearest neighbours and their distance in Å.
Sites, in units of the cell vectors:
Ba (0.0000, 0.2767, 0.2500)  5 Br 3.46-3.61
Ba (0.0000, 0.7233, 0.7500)  5 Br 3.46-3.61
Ba (0.2767, 0.0000, 0.2500)  5 Br 3.46-3.61
Ba (0.2767, 0.2767, 0.7500)  5 Br 3.46-3.61
Ba (0.3333, 0.6667, 0.0000)  6 Br 3.75, 2 Ba 3.83
Ba (0.3333, 0.6667, 0.5000)  6 Br 3.75, 2 Ba 3.83
Ba (0.6667, 0.3333, 0.0000)  6 Br 3.75, 2 Ba 3.83
Ba (0.6667, 0.3333, 0.5000)  6 Br 3.75, 2 Ba 3.83
Ba (0.7233, 0.0000, 0.7500)  5 Br 3.46-3.61
Ba (0.7233, 0.7233, 0.2500)  5 Br 3.46-3.61
Br (0.0000, 0.0000, 0.0000)  6 Ba 3.46, 2 Br 3.83
Br (0.0000, 0.0000, 0.5000)  6 Ba 3.46, 2 Br 3.83
Br (0.0000, 0.3886, 0.7500)  7 Ba 3.49-3.75
Br (0.0000, 0.6114, 0.2500)  7 Ba 3.49-3.75
Br (0.3886, 0.0000, 0.7500)  7 Ba 3.49-3.75
Br (0.3886, 0.3886, 0.2500)  7 Ba 3.49-3.75
Br (0.6114, 0.0000, 0.2500)  7 Ba 3.49-3.75
Br (0.6114, 0.6114, 0.7500)  7 Ba 3.49-3.75

ii | # Ba5Br4

An optimized crystal structure of Ba5Br4 (PBE, Alexandria).

The value obtained for the density of states at the Fermi level is 0.57 states/eV/atom.

a = 11.2148 Å, b = 11.2148 Å, c = 11.2148 Å
α = 92.28°, β = 92.28°, γ = 157.01°
Last column: nearest neighbours and their distance in Å.
Sites, in units of the cell vectors:
Ba (0.0000, 0.0000, 0.0000)  4 Br 3.37
Ba (0.3406, 0.3406, 0.6811)  4 Br 3.45
Ba (0.3406, 0.6594, 0.0000)  4 Br 3.45
Ba (0.6594, 0.3406, 0.0000)  4 Br 3.45
Ba (0.6594, 0.6594, 0.3189)  4 Br 3.45
Br (0.0000, 0.2166, 0.2166)  5 Ba 3.37-3.45
Br (0.0000, 0.7834, 0.7834)  5 Ba 3.37-3.45
Br (0.2166, 0.0000, 0.2166)  5 Ba 3.37-3.45
Br (0.7834, 0.0000, 0.7834)  5 Ba 3.37-3.45

Stability check: which of them is least stable? i.

i | # BaC2Br

An optimized crystal structure of BaC2Br (PBE, Alexandria).

The value obtained for the density of states at the Fermi level is 0.58 states/eV/atom.

a = 5.9288 Å, b = 5.9288 Å, c = 5.9288 Å
α = 111.73°, β = 111.73°, γ = 105.04°
Last column: nearest neighbours and their distance in Å.
Sites, in units of the cell vectors:
Ba (0.0000, 0.0000, 0.0000)  8 C 2.98-3.34
Ba (0.7500, 0.2500, 0.5000)  8 C 2.98-3.34
C (0.2216, 0.1250, 0.5966)  2 Br 2.15
C (0.3750, 0.7784, 0.9034)  2 Br 2.15
C (0.5284, 0.6250, 0.4034)  2 Br 2.15
C (0.8750, 0.4716, 0.0966)  2 Br 2.15
Br (0.2500, 0.7500, 0.5000)  4 C 2.15
Br (0.5000, 0.5000, 0.0000)  4 C 2.15

ii | # BaC2Br

An optimized crystal structure of BaC2Br (PBE, Alexandria).

The value obtained for the density of states at the Fermi level is 1.11 states/eV/atom.

a = 4.8480 Å, b = 4.8480 Å, c = 4.8480 Å
α = 60.00°, β = 60.00°, γ = 60.00°
Last column: nearest neighbours and their distance in Å.
Sites, in units of the cell vectors:
Ba (0.0000, 0.0000, 0.0000)  8 C 2.97
C (0.2500, 0.2500, 0.2500)  4 Br 2.97, 4 Ba 2.97
C (0.7500, 0.7500, 0.7500)  4 Br 2.97, 4 Ba 2.97
Br (0.5000, 0.5000, 0.5000)  8 C 2.97

Stability check: which of them is least stable? ii.

i | # BaCBrN2

An optimized crystal structure of BaCBrN2 (PBE, Alexandria).

The value obtained for the density of states at the Fermi level is 0.42 states/eV/atom.

a = 6.3109 Å, b = 4.9298 Å, c = 7.7569 Å
α = 90.00°, β = 99.36°, γ = 90.00°
Last column: nearest neighbours and their distance in Å.
Sites, in units of the cell vectors:
Ba (0.1913, 0.2500, 0.2557)  4 N 2.88-2.92
Ba (0.8087, 0.7500, 0.7443)  4 N 2.88-2.92
C (0.3173, 0.7500, 0.0167)  2 N 1.22-1.25
C (0.6827, 0.2500, 0.9833)  2 N 1.22-1.25
Br (0.2599, 0.7500, 0.5485)  4 Ba 3.33-3.55, 1 N 3.48, 1 C 3.59
Br (0.7401, 0.2500, 0.4515)  4 Ba 3.33-3.55, 1 N 3.48, 1 C 3.59
N (0.1375, 0.7500, 0.0559)  1 C 1.22
N (0.4948, 0.2500, 0.0159)  1 C 1.25
N (0.5052, 0.7500, 0.9841)  1 C 1.25
N (0.8625, 0.2500, 0.9441)  1 C 1.22

ii | # BaCBrN2

An optimized crystal structure of BaCBrN2 (PBE, Alexandria).

The value obtained for the density of states at the Fermi level is 0.59 states/eV/atom.

a = 4.1638 Å, b = 4.1638 Å, c = 6.3600 Å
α = 90.00°, β = 90.00°, γ = 90.00°
Last column: nearest neighbours and their distance in Å.
Sites, in units of the cell vectors:
Ba (0.0000, 0.0000, 0.0000)  4 C 2.94, 2 Br 3.18
C (0.5000, 0.5000, 0.0000)  4 Ba 2.94
Br (0.0000, 0.0000, 0.5000)  4 N 2.08
N (0.0000, 0.5000, 0.5000)  2 Br 2.08
N (0.5000, 0.0000, 0.5000)  2 Br 2.08

Stability check: which of them is least stable? ii.

i | # BaCSe2Br

An optimized crystal structure of BaCSe2Br (PBE, Alexandria).

The value obtained for the density of states at the Fermi level is 1.51 states/eV/atom.

a = 6.6523 Å, b = 6.6523 Å, c = 6.2716 Å
α = 90.00°, β = 90.00°, γ = 90.00°
Last column: nearest neighbours and their distance in Å.
Sites, in units of the cell vectors:
Ba (0.0000, 0.0000, 0.0000)  2 Br 3.14, 4 Se 3.33
C (0.5000, 0.5000, 0.5000)  8 Se 4.57, 4 Br 4.70
Se (0.0000, 0.5000, 0.0000)  2 Ba 3.33
Se (0.5000, 0.0000, 0.0000)  2 Ba 3.33
Br (0.0000, 0.0000, 0.5000)  2 Ba 3.14

ii | # BaCSe2Br

An optimized crystal structure of BaCSe2Br (PBE, Alexandria).

The value obtained for the density of states at the Fermi level is 0.55 states/eV/atom.

a = 4.5822 Å, b = 4.5822 Å, c = 5.6195 Å
α = 90.00°, β = 90.00°, γ = 90.00°
Last column: nearest neighbours and their distance in Å.
Sites, in units of the cell vectors:
Ba (0.0000, 0.0000, 0.0000)  4 Br 3.24, 8 Se 3.63
C (0.5000, 0.5000, 0.5000)  4 Se 2.29
Se (0.0000, 0.5000, 0.5000)  2 C 2.29
Se (0.5000, 0.0000, 0.5000)  2 C 2.29
Br (0.5000, 0.5000, 0.0000)  2 C 2.81

Stability check: which of them is least stable? i.

i | # BaCSeBr2

An optimized crystal structure of BaCSeBr2 (PBE, Alexandria).

The value obtained for the density of states at the Fermi level is 3.57 states/eV/atom.

a = 6.2683 Å, b = 6.2683 Å, c = 6.5324 Å
α = 90.00°, β = 90.00°, γ = 90.00°
Last column: nearest neighbours and their distance in Å.
Sites, in units of the cell vectors:
Ba (0.0000, 0.0000, 0.0000)  4 Br 3.13, 2 Se 3.27
C (0.5000, 0.5000, 0.5000)  4 Se 4.43, 8 Br 4.53
Se (0.0000, 0.0000, 0.5000)  2 Ba 3.27
Br (0.0000, 0.5000, 0.0000)  2 Ba 3.13
Br (0.5000, 0.0000, 0.0000)  2 Ba 3.13

ii | # BaCSeBr2

An optimized crystal structure of BaCSeBr2 (PBE, Alexandria).

The value obtained for the density of states at the Fermi level is 0.23 states/eV/atom.

a = 5.1951 Å, b = 5.1951 Å, c = 4.5502 Å
α = 90.00°, β = 90.00°, γ = 90.00°
Last column: nearest neighbours and their distance in Å.
Sites, in units of the cell vectors:
Ba (0.0000, 0.0000, 0.0000)  8 Br 3.45, 4 Se 3.67
C (0.5000, 0.5000, 0.5000)  2 Se 2.28
Se (0.5000, 0.5000, 0.0000)  2 C 2.28
Br (0.0000, 0.5000, 0.5000)  2 C 2.60
Br (0.5000, 0.0000, 0.5000)  2 C 2.60

Stability check: which of them is least stable? i.